Entry 1:
A relaxed structure of TiHg2Ru. Source: the Alexandria database, functional PBE.

The space group is I-42d (No. 122) and the conventional cell measures 7.605, 7.605 and 5.456 Å, with angles of 90.00, 90.00 and 90.00 degrees. The asymmetric unit holds Ti at (0.000, 0.000, 0.000), Hg at (0.243, 0.250, 0.625) and Ru at (0.000, 0.000, 0.500).

Its calculated density is 11.58 g/cm3. As for the total DFT energy (no corrections): -61.7 eV per cell. The energy above the lowest structure with this stoichiometry comes out at 1.37 eV per formula unit.

---

Entry 2:
A relaxed structure of FeTc2Ag. Source: the Alexandria database, functional PBE.

The space group is Cm (No. 8) and the conventional cell measures 9.158, 2.646 and 4.911 Å, with angles of 90.00, 99.23 and 90.00 degrees. The asymmetric unit holds Fe at (0.000, 0.000, 0.000), Tc at (0.009, 0.500, 0.528), Tc at (0.269, 0.000, 0.741) and Ag at (0.252, 0.500, 0.234).

Its calculated density is 10.17 g/cm3. As for the total DFT energy (no corrections): -60.7 eV per cell. The energy above the lowest structure with this stoichiometry comes out at 0.41 eV per formula unit.